Entry from Alexandria via LeMat-Bulk: a relaxed SrZnPN3 crystal (PBE).

The value obtained for the magnetization is 0.000 μB/atom. As for the formation energy without anion corrections: -0.381 eV per atom.

Unit cell a=5.159 b=5.466 c=5.710 alpha=118.60 beta=90.00 gamma=90.00
Positions (direct):
Sr 0.750 0.250 0.500
Sr 0.250 0.750 0.500
Zn 0.250 0.421 0.841
Zn 0.750 0.579 0.159
P 0.250 0.057 0.114
P 0.750 0.943 0.886
N 0.250 0.220 0.440
N 0.000 0.213 0.000
N 0.500 0.787 0.000
N 0.500 0.213 0.000
N 0.000 0.787 0.000
N 0.750 0.780 0.560